(1)
Below is an optimized crystal structure of ZnSbAu3, with properties calculated at the PBE level.

a b c (Å): 4.8400 4.8400 4.8400
angles (deg): 90.00 90.00 90.00
Element x y z (fractional)
Zn 0.0000 0.0000 0.0000
Au 0.0000 0.5000 0.0000
Au 0.0000 0.0000 0.5000
Au 0.5000 0.0000 0.0000
Sb 0.5000 0.5000 0.5000

**Energy relative to the elements, uncorrected**: 8.59 kcal/mol of atoms
**Excess energy over the best structure of this formula in the dataset**: 452.2 meV/atom
**Total moment**: 0.00 μB per cell
**Crystal system**: cubic

(2)
Below is an optimized crystal structure of Zn2SbAu, with properties calculated at the PBE level.

a b c (Å): 8.2883 8.2883 8.2883
angles (deg): 23.61 23.61 23.61
Element x y z (fractional)
Sb 0.7506 0.7506 0.7506
Zn 0.9909 0.9909 0.9909
Zn 0.2504 0.2504 0.2504
Au 0.5081 0.5081 0.5081

**Energy relative to the elements, uncorrected**: 1.73 kcal/mol of atoms
**Total moment**: 0.00 μB per cell
**Crystal system**: trigonal

(3)
Below is an optimized crystal structure of Zn2Sb2Au, with properties calculated at the PBE level.

a b c (Å): 7.1171 7.1171 4.1246
angles (deg): 90.00 90.00 90.00
Element x y z (fractional)
Sb 0.8195 0.3195 0.5000
Sb 0.3195 0.1805 0.5000
Sb 0.6805 0.8195 0.5000
Sb 0.1805 0.6805 0.5000
Au 0.0000 0.0000 0.0000
Au 0.5000 0.5000 0.0000
Zn 0.3725 0.8725 0.0000
Zn 0.8725 0.6275 0.0000
Zn 0.6275 0.1275 0.0000
Zn 0.1275 0.3725 0.0000

**Energy relative to the elements, uncorrected**: 3.05 kcal/mol of atoms
**Excess energy over the best structure of this formula in the dataset**: 0.0 meV/atom
**Total moment**: 0.00 μB per cell
**Crystal system**: tetragonal

(4)
Below is an optimized crystal structure of ZnSb2Au, with properties calculated at the PBE level.

a b c (Å): 6.8041 6.8041 6.8041
angles (deg): 146.16 147.40 47.70
Element x y z (fractional)
Sb 0.7195 0.2195 0.5000
Sb 0.0236 0.0236 0.0000
Au 0.3053 0.8053 0.5000
Zn 0.4516 0.4516 0.0000

**Energy relative to the elements, uncorrected**: 1.89 kcal/mol of atoms
**Total moment**: 0.00 μB per cell
**Crystal system**: orthorhombic

What is the energy relative to the elements, uncorrected in the third record?
3.05 kcal/mol of atoms

What did the fourth record say?
Below is an optimized crystal structure of ZnSb2Au, with properties calculated at the PBE level.

a b c (Å): 6.8041 6.8041 6.8041
angles (deg): 146.16 147.40 47.70
Element x y z (fractional)
Sb 0.7195 0.2195 0.5000
Sb 0.0236 0.0236 0.0000
Au 0.3053 0.8053 0.5000
Zn 0.4516 0.4516 0.0000

**Energy relative to the elements, uncorrected**: 1.89 kcal/mol of atoms
**Total moment**: 0.00 μB per cell
**Crystal system**: orthorhombic

The lowest energy relative to the elements, uncorrected belongs to which entry?
Zn2SbAu